## Ba6Tl2HgI3 (GGA-PBE)

Data for a geometry-optimized Ba6Tl2HgI3 structure.

Cell lengths 8.2048, 8.2048, 9.6721 Å; angles 97.78, 97.78, 118.74 degrees
Sites, in units of the cell vectors:
1 Ba 0.0651 0.4067 0.7175
2 Ba 0.2315 0.2315 0.2369
3 Ba 0.4067 0.0651 0.7175
4 Ba 0.5933 0.9349 0.2825
5 Ba 0.7685 0.7685 0.7631
6 Ba 0.9349 0.5933 0.2825
7 Tl 0.3726 0.6274 0.5000
8 Tl 0.6274 0.3726 0.5000
9 Hg 0.0000 0.0000 0.5000
10 I 0.1794 0.8206 0.0000
11 I 0.5000 0.5000 0.0000
12 I 0.8206 0.1794 0.0000

E_tot ... -2.6379 eV per atom
Formation energy (no corrections) ... -0.869 eV/atom
V ... 550.3 Å³/cell



## Sm2ScPaBi4 (GGA-PBE)

Data for a geometry-optimized Sm2ScPaBi4 structure.

Cell lengths 7.7200, 4.4674, 7.7696 Å; angles 90.00, 109.31, 90.00 degrees
Sites, in units of the cell vectors:
1 Sm 0.0000 0.0000 0.0000
2 Sm 0.5000 0.5000 0.0000
3 Sc 0.0000 0.5000 0.5000
4 Pa 0.5000 0.0000 0.5000
5 Bi 0.2387 0.0000 0.7346
6 Bi 0.2455 0.5000 0.2589
7 Bi 0.7545 0.5000 0.7411
8 Bi 0.7613 0.0000 0.2654

E_tot ... -5.7268 eV per atom
V ... 252.9 Å³/cell
ΔE_f ... -0.628 eV per atom



## BiPb2C (GGA-PBE)

Data for a geometry-optimized BiPb2C structure.

Cell lengths 6.9514, 6.9514, 6.9514 Å; angles 121.48, 121.48, 87.46 degrees
Sites, in units of the cell vectors:
1 Bi 0.0000 0.0000 0.0000
2 Bi 0.7500 0.2500 0.5000
3 Pb 0.2186 0.6250 0.0936
4 Pb 0.3750 0.4686 0.5936
5 Pb 0.5314 0.1250 0.9064
6 Pb 0.8750 0.7814 0.4064
7 C 0.2500 0.7500 0.5000
8 C 0.5000 0.5000 0.0000

E_tot ... -4.1563 eV per atom
V ... 232.0 Å³/cell
ΔE_f ... 0.974 eV per atom



## La2Nd3Rh3 (GGA-PBE)

Data for a geometry-optimized La2Nd3Rh3 structure.

Cell lengths 5.8399, 5.9257, 14.1068 Å; angles 89.15, 89.67, 72.10 degrees
Sites, in units of the cell vectors:
1 La 0.0000 0.0000 0.0000
2 La 0.0069 0.0085 0.6435
3 La 0.2021 0.4601 0.4938
4 La 0.5699 0.8411 0.1933
5 Nd 0.1941 0.4408 0.1373
6 Nd 0.2609 0.2863 0.8222
7 Nd 0.5781 0.8708 0.4572
8 Nd 0.6249 0.5944 0.9519
9 Nd 0.6285 0.5982 0.6891
10 Nd 0.9423 0.1680 0.3208
11 Rh 0.4190 0.2405 0.3163
12 Rh 0.4731 0.0934 0.0050
13 Rh 0.4736 0.1112 0.6380
14 Rh 0.7253 0.3538 0.1359
15 Rh 0.7326 0.3621 0.5042
16 Rh 0.7879 0.2061 0.8213

E_tot ... -6.2680 eV per atom
V ... 464.5 Å³/cell
ΔE_f ... -0.491 eV per atom



## CaAg2Pb (GGA-PBE)

Data for a geometry-optimized CaAg2Pb structure.

Cell lengths 3.9558, 4.6818, 5.7747 Å; angles 90.00, 108.64, 90.00 degrees
Sites, in units of the cell vectors:
1 Ca 0.0000 0.0000 0.0000
2 Ag 0.2920 0.0000 0.5542
3 Ag 0.4279 0.5000 0.8441
4 Pb 0.7117 0.5000 0.3953

E_tot ... -3.0248 eV per atom
V ... 101.3 Å³/cell
ΔE_f ... -0.172 eV per atom



## Sr2In5Sn (GGA-PBE)

Data for a geometry-optimized Sr2In5Sn structure.

Cell lengths 7.1407, 7.1407, 7.1407 Å; angles 124.31, 124.31, 82.68 degrees
Sites, in units of the cell vectors:
1 Sr 0.0000 0.5000 0.5000
2 Sr 0.5000 0.0000 0.5000
3 In 0.4218 0.4218 0.0000
4 In 0.5202 0.5202 0.5376
5 In 0.5202 0.9825 0.0000
6 In 0.9825 0.5202 0.0000
7 In 0.9825 0.9825 0.4624
8 Sn 0.0755 0.0755 0.0000

E_tot ... -2.9724 eV per atom
V ... 238.5 Å³/cell
ΔE_f ... -0.340 eV per atom



## Pm4Ga3Pd5 (GGA-PBE)

Data for a geometry-optimized Pm4Ga3Pd5 structure.

Cell lengths 7.0549, 7.0549, 10.9848 Å; angles 124.43, 124.43, 38.23 degrees
Sites, in units of the cell vectors:
1 Pm 0.0255 0.0255 0.2884
2 Pm 0.2515 0.2515 0.7316
3 Pm 0.7485 0.7485 0.2684
4 Pm 0.9745 0.9745 0.7116
5 Ga 0.0000 0.0000 0.0000
6 Ga 0.3150 0.3150 0.0663
7 Ga 0.6850 0.6850 0.9337
8 Pd 0.3084 0.3084 0.4950
9 Pd 0.4222 0.4222 0.3492
10 Pd 0.5000 0.5000 0.0000
11 Pd 0.5778 0.5778 0.6508
12 Pd 0.6916 0.6916 0.5050

E_tot ... -5.1516 eV per atom
V ... 271.1 Å³/cell
ΔE_f ... -0.648 eV per atom



## PmPu2ThN4 (GGA-PBE)

Data for a geometry-optimized PmPu2ThN4 structure.

Cell lengths 6.1391, 3.5710, 6.1778 Å; angles 90.00, 109.61, 90.00 degrees
Sites, in units of the cell vectors:
1 Pm 0.0000 0.0000 0.0000
2 Pu 0.5000 0.0000 0.5000
3 Pu 0.5000 0.5000 0.0000
4 Th 0.0000 0.5000 0.5000
5 N 0.2632 0.0000 0.7516
6 N 0.2687 0.5000 0.2601
7 N 0.7313 0.5000 0.7399
8 N 0.7368 0.0000 0.2484

E_tot ... -10.6509 eV per atom
Formation energy (no corrections) ... -1.384 eV/atom
V ... 127.6 Å³/cell



## ZrAs2Ir (GGA-PBE)

Data for a geometry-optimized ZrAs2Ir structure.

Cell lengths 3.1354, 3.9531, 5.7735 Å; angles 90.00, 90.00, 90.00 degrees
Sites, in units of the cell vectors:
1 Zr 0.0000 0.0000 0.0000
2 As 0.5000 0.5000 0.2439
3 As 0.5000 0.5000 0.7561
4 Ir 0.5000 0.0000 0.5000

E_tot ... -7.0998 eV per atom
V ... 71.6 Å³/cell
ΔE_f ... -0.423 eV per atom



## Na3Dy3NpO8 (GGA-PBE)

Data for a geometry-optimized Na3Dy3NpO8 structure.

Cell lengths 6.8895, 6.8895, 6.8895 Å; angles 60.19, 60.19, 60.19 degrees
Sites, in units of the cell vectors:
1 Na 0.0000 0.5000 0.5000
2 Na 0.5000 0.0000 0.5000
3 Na 0.5000 0.5000 0.0000
4 Dy 0.0000 0.0000 0.5000
5 Dy 0.0000 0.5000 0.0000
6 Dy 0.5000 0.0000 0.0000
7 Np 0.5000 0.5000 0.5000
8 O 0.2358 0.2358 0.2358
9 O 0.2439 0.7276 0.7276
10 O 0.2724 0.2724 0.7561
11 O 0.2724 0.7561 0.2724
12 O 0.7276 0.2439 0.7276
13 O 0.7276 0.7276 0.2439
14 O 0.7561 0.2724 0.2724
15 O 0.7642 0.7642 0.7642

E_tot ... -7.4847 eV per atom
Formation energy (no corrections) ... -2.793 eV/atom
V ... 232.2 Å³/cell